FeMo2, relaxed, DFT PBE; VASP energy = -28.45 eV/f.u.; SG = Immm (71); Fermi-level density of states = 1.000 states/eV per atom
1.0
-1.730 2.287 2.959
1.730 -2.287 2.959
1.730 2.287 -2.959
Fe Mo
1 2
direct
0.000 0.000 0.000
0.284 0.784 0.500
0.716 0.216 0.500

***

Er2Fe5Co12, relaxed, DFT PBE; VASP energy = -138.82 eV/f.u.; SG = R-3m (166); Fermi-level density of states = 1.003 states/eV per atom
1.0
4.156 2.399 4.064
-4.156 2.399 4.064
0.000 -4.799 4.064
Er Fe Co
2 5 12
direct
0.158 0.158 0.158
0.842 0.842 0.842
0.000 0.500 0.500
0.404 0.404 0.404
0.500 0.000 0.500
0.500 0.500 0.000
0.596 0.596 0.596
0.153 0.153 0.658
0.153 0.658 0.153
0.209 0.500 0.791
0.209 0.791 0.500
0.342 0.847 0.847
0.500 0.209 0.791
0.500 0.791 0.209
0.658 0.153 0.153
0.791 0.209 0.500
0.791 0.500 0.209
0.847 0.342 0.847
0.847 0.847 0.342

***

LiCo2Ge3, relaxed, DFT PBE; VASP energy = -30.04 eV/f.u.; SG = P-3m1 (164); Fermi-level density of states = 0.852 states/eV per atom
1.0
5.673 0.000 0.000
-2.837 4.913 0.000
0.000 0.000 6.054
Li Co Ge
2 4 6
direct
0.333 0.667 0.333
0.667 0.333 0.667
0.000 0.000 0.000
0.000 0.500 0.000
0.500 0.000 0.000
0.500 0.500 0.000
0.170 0.340 0.704
0.170 0.830 0.704
0.340 0.170 0.296
0.660 0.830 0.704
0.830 0.170 0.296
0.830 0.660 0.296

***

Ga2TcGe4, relaxed, DFT PBE; VASP energy = -32.20 eV/f.u.; SG = I4/mmm (139); Fermi-level density of states = 0.485 states/eV per atom
1.0
-2.403 2.403 6.940
2.403 -2.403 6.940
2.403 2.403 -6.940
Ga Tc Ge
2 1 4
direct
0.136 0.136 0.000
0.864 0.864 0.000
0.500 0.500 0.000
0.000 0.500 0.500
0.319 0.319 0.000
0.500 0.000 0.500
0.681 0.681 0.000

***

> The lowest Fermi-level density of states belongs to which entry?

Ga2TcGe4